DFT (GGA-PBE) results for crystalline Ce2Cd3Au6 at its relaxed geometry.

- D(E_F): 1.464 states/eV/atom
- E_tot: -38.38 eV/cell
- Volume: 23.528 Å³ per atom
- Formation enthalpy at 0 K: -0.37 eV per atom
- Magnetization: 1.83 Bohr magnetons per cell

Lattice parameters (Å, degrees): 8.192 8.192 3.997 90.00 90.00 105.23
Fractional positions:
Ce (0.195, 0.195, 0.000)
Ce (0.805, 0.805, 0.000)
Cd (0.276, 0.724, 0.000)
Cd (0.500, 0.500, 0.500)
Cd (0.724, 0.276, 0.000)
Au (0.114, 0.886, 0.500)
Au (0.148, 0.457, 0.500)
Au (0.457, 0.148, 0.500)
Au (0.543, 0.852, 0.500)
Au (0.852, 0.543, 0.500)
Au (0.886, 0.114, 0.500)



DFT (GGA-PBE) results for crystalline ErTh3C2 at its relaxed geometry.

- D(E_F): 1.141 states/eV/atom
- E_tot: -93.33 eV/cell
- Volume: 23.974 Å³ per atom
- Formation enthalpy at 0 K: -0.23 eV per atom
- Magnetization: 0.00 Bohr magnetons per cell

Lattice parameters (Å, degrees): 8.397 8.397 12.559 128.60 128.60 24.98
Fractional positions:
Er (0.140, 0.140, 0.201)
Er (0.860, 0.860, 0.799)
Th (0.139, 0.139, 0.698)
Th (0.364, 0.364, 0.552)
Th (0.367, 0.367, 0.057)
Th (0.633, 0.633, 0.943)
Th (0.636, 0.636, 0.448)
Th (0.861, 0.861, 0.302)
C (0.244, 0.244, 0.120)
C (0.254, 0.254, 0.628)
C (0.746, 0.746, 0.372)
C (0.756, 0.756, 0.880)



DFT (GGA-PBE) results for crystalline NiBiP3 at its relaxed geometry.

- D(E_F): 0.298 states/eV/atom
- E_tot: -25.53 eV/cell
- Polymorph energy (0 for the lowest one): 156 meV per atom
- Volume: 19.459 Å³ per atom
- Formation enthalpy at 0 K: 0.07 eV per atom
- Magnetization: 0.00 Bohr magnetons per cell

Lattice parameters (Å, degrees): 4.030 4.125 6.111 106.15 90.11 94.04
Fractional positions:
Ni (0.000, 0.000, 0.000)
Bi (0.932, 0.541, 0.373)
P (0.086, 0.403, 0.811)
P (0.482, 0.802, 0.836)
P (0.494, 0.990, 0.229)



DFT (GGA-PBE) results for crystalline P2PtPb at its relaxed geometry.

- D(E_F): 0.240 states/eV/atom
- E_tot: -20.21 eV/cell
- Volume: 19.714 Å³ per atom
- Formation enthalpy at 0 K: 0.09 eV per atom
- Magnetization: 0.00 Bohr magnetons per cell

Lattice parameters (Å, degrees): 3.427 3.427 6.714 90.00 90.00 90.00
Fractional positions:
P (0.000, 0.000, 0.161)
P (0.000, 0.000, 0.839)
Pt (0.500, 0.500, 0.000)
Pb (0.500, 0.500, 0.500)



DFT (GGA-PBE) results for crystalline LaRuPt at its relaxed geometry.

- D(E_F): 1.475 states/eV/atom
- E_tot: -20.29 eV/cell
- Volume: 19.429 Å³ per atom
- Formation enthalpy at 0 K: -0.01 eV per atom
- Magnetization: 0.00 Bohr magnetons per cell

Lattice parameters (Å, degrees): 4.703 4.703 3.043 90.00 90.00 120.00
Fractional positions:
La (0.000, 0.000, 0.000)
Ru (0.667, 0.333, 0.800)
Pt (0.333, 0.667, 0.394)



DFT (GGA-PBE) results for crystalline LaHf2Os at its relaxed geometry.

- D(E_F): 1.351 states/eV/atom
- E_tot: -35.73 eV/cell
- Polymorph energy (0 for the lowest one): 278 meV per atom
- Volume: 20.462 Å³ per atom
- Formation enthalpy at 0 K: 0.08 eV per atom
- Magnetization: 0.00 Bohr magnetons per cell

Lattice parameters (Å, degrees): 4.874 4.874 4.874 60.00 60.00 60.00
Fractional positions:
La (0.000, 0.000, 0.000)
Hf (0.250, 0.250, 0.250)
Hf (0.750, 0.750, 0.750)
Os (0.500, 0.500, 0.500)



> What is the formula in the second record?

ErTh3C2



> What is the E_tot in the sixth record?

-35.73 eV/cell



> Number 2 is which compound?

ErTh3C2